Computed, not measured: crystalline DyHoInRu at its relaxed geometry at the PBE level of DFT.

The structure in CIF format:
```
data_DyHoInRu
_chemical_formula_sum 'Dy1 Ho1 In1 Ru1'
_symmetry_space_group_name_H-M 'P 1'
_symmetry_Int_Tables_number 1
_symmetry_space_group_name_Hall 'P 1'
_cell_length_a 5.0491
_cell_length_b 5.0491
_cell_length_c 5.0491
_cell_angle_alpha 60.00
_cell_angle_beta 60.00
_cell_angle_gamma 60.00
loop_
_atom_site_label
_atom_site_type_symbol
_atom_site_fract_x
_atom_site_fract_y
_atom_site_fract_z
Dy1 Dy 0.0000 0.0000 0.0000
Ho1 Ho 0.5000 0.5000 0.5000
In1 In 0.2500 0.2500 0.2500
Ru1 Ru 0.7500 0.7500 0.7500
```

- Formation enthalpy at 0 K: -343 meV/atom
- Total magnetization: 0.0 μB per cell
- Energy relative to the lowest polymorph listed for this composition: 129 meV/atom


Computed, not measured: crystalline Dy2HoIn3S6 at its relaxed geometry at the PBE level of DFT.

The structure in CIF format:
```
data_Dy2HoIn3S6
_chemical_formula_sum 'Dy2 Ho1 In3 S6'
_symmetry_space_group_name_H-M 'P 1'
_symmetry_Int_Tables_number 1
_symmetry_space_group_name_Hall 'P 1'
_cell_length_a 6.9057
_cell_length_b 6.9057
_cell_length_c 7.8555
_cell_angle_alpha 98.43
_cell_angle_beta 98.43
_cell_angle_gamma 120.00
loop_
_atom_site_label
_atom_site_type_symbol
_atom_site_fract_x
_atom_site_fract_y
_atom_site_fract_z
Dy1 Dy 0.1667 0.8333 0.0000
Dy2 Dy 0.8333 0.1667 0.0000
Ho1 Ho 0.5000 0.5000 0.0000
In1 In 0.0000 0.0000 0.5000
In2 In 0.3332 0.6668 0.5000
In3 In 0.6668 0.3332 0.5000
S1 S 0.1009 0.4330 0.7992
S2 S 0.2349 0.2349 0.2011
S3 S 0.4330 0.1009 0.7992
S4 S 0.5670 0.8991 0.2008
S5 S 0.7651 0.7651 0.7989
S6 S 0.8991 0.5670 0.2008
```

- Total magnetization: 0.0 μB per cell
- Uncorrected formation energy: -1.40 eV per atom


Computed, not measured: crystalline DyHo2In3S6 at its relaxed geometry at the PBE level of DFT.

The structure in CIF format:
```
data_DyHo2In3S6
_chemical_formula_sum 'Dy1 Ho2 In3 S6'
_symmetry_space_group_name_H-M 'P 1'
_symmetry_Int_Tables_number 1
_symmetry_space_group_name_Hall 'P 1'
_cell_length_a 6.8952
_cell_length_b 6.8952
_cell_length_c 7.8565
_cell_angle_alpha 98.42
_cell_angle_beta 98.42
_cell_angle_gamma 120.00
loop_
_atom_site_label
_atom_site_type_symbol
_atom_site_fract_x
_atom_site_fract_y
_atom_site_fract_z
Dy1 Dy 0.0000 0.0000 0.0000
Ho1 Ho 0.3333 0.6667 0.0000
Ho2 Ho 0.6667 0.3333 0.0000
In1 In 0.1665 0.8335 0.5000
In2 In 0.5000 0.5000 0.5000
In3 In 0.8335 0.1665 0.5000
S1 S 0.0669 0.4014 0.2005
S2 S 0.2677 0.2677 0.7998
S3 S 0.4014 0.0669 0.2005
S4 S 0.5986 0.9331 0.7995
S5 S 0.7323 0.7323 0.2002
S6 S 0.9331 0.5986 0.7995
```

- Total magnetization: 0.0 μB per cell
- Uncorrected formation energy: -1.41 eV per atom


Computed, not measured: crystalline DyHo2ScIn2 at its relaxed geometry at the PBE level of DFT.

The structure in CIF format:
```
data_DyHo2ScIn2
_chemical_formula_sum 'Dy2 Ho4 Sc2 In4'
_symmetry_space_group_name_H-M 'P 1'
_symmetry_Int_Tables_number 1
_symmetry_space_group_name_Hall 'P 1'
_cell_length_a 5.2726
_cell_length_b 9.1526
_cell_length_c 6.6569
_cell_angle_alpha 90.00
_cell_angle_beta 90.00
_cell_angle_gamma 90.00
loop_
_atom_site_label
_atom_site_type_symbol
_atom_site_fract_x
_atom_site_fract_y
_atom_site_fract_z
Dy1 Dy 0.0000 0.0036 0.0000
Dy2 Dy 0.0000 0.9964 0.5000
Ho1 Ho 0.0000 0.3359 0.2562
Ho2 Ho 0.0000 0.6641 0.7562
Ho3 Ho 0.5000 0.4957 0.0013
Ho4 Ho 0.5000 0.5043 0.5013
Sc1 Sc 0.5000 0.1701 0.7457
Sc2 Sc 0.5000 0.8299 0.2457
In1 In 0.0000 0.3258 0.7525
In2 In 0.0000 0.6742 0.2525
In3 In 0.5000 0.1578 0.2496
In4 In 0.5000 0.8422 0.7496
```

- Formation enthalpy at 0 K: -354 meV/atom
- Total magnetization: 0.0 μB per cell


Computed, not measured: crystalline DyHo2In3Se6 at its relaxed geometry at the PBE level of DFT.

The structure in CIF format:
```
data_DyHo2In3Se6
_chemical_formula_sum 'Dy1 Ho2 In3 Se6'
_symmetry_space_group_name_H-M 'P 1'
_symmetry_Int_Tables_number 1
_symmetry_space_group_name_Hall 'P 1'
_cell_length_a 7.1659
_cell_length_b 7.1659
_cell_length_c 8.1082
_cell_angle_alpha 98.48
_cell_angle_beta 98.48
_cell_angle_gamma 120.00
loop_
_atom_site_label
_atom_site_type_symbol
_atom_site_fract_x
_atom_site_fract_y
_atom_site_fract_z
Dy1 Dy 0.0000 0.0000 0.0000
Ho1 Ho 0.3333 0.6667 0.0000
Ho2 Ho 0.6667 0.3333 0.0000
In1 In 0.1664 0.8336 0.5000
In2 In 0.5000 0.5000 0.5000
In3 In 0.8336 0.1664 0.5000
Se1 Se 0.0693 0.4037 0.2076
Se2 Se 0.2653 0.2653 0.7927
Se3 Se 0.4037 0.0693 0.2076
Se4 Se 0.5963 0.9307 0.7924
Se5 Se 0.7347 0.7347 0.2073
Se6 Se 0.9307 0.5963 0.7924
```

- Total magnetization: 0.0 μB per cell
- Uncorrected formation energy: -1.30 eV per atom


Computed, not measured: crystalline DyHoIn2Se4 at its relaxed geometry at the PBE level of DFT.

The structure in CIF format:
```
data_DyHoIn2Se4
_chemical_formula_sum 'Dy1 Ho1 In2 Se4'
_symmetry_space_group_name_H-M 'P 1'
_symmetry_Int_Tables_number 1
_symmetry_space_group_name_Hall 'P 1'
_cell_length_a 7.1697
_cell_length_b 4.1413
_cell_length_c 8.1060
_cell_angle_alpha 90.00
_cell_angle_beta 107.14
_cell_angle_gamma 90.00
loop_
_atom_site_label
_atom_site_type_symbol
_atom_site_fract_x
_atom_site_fract_y
_atom_site_fract_z
Dy1 Dy 0.0000 0.0000 0.0000
Ho1 Ho 0.5000 0.5000 0.0000
In1 In 0.0000 0.5000 0.5000
In2 In 0.5000 0.0000 0.5000
Se1 Se 0.2368 0.5000 0.2079
Se2 Se 0.2653 0.0000 0.7926
Se3 Se 0.7347 0.0000 0.2074
Se4 Se 0.7632 0.5000 0.7921
```

- Total magnetization: 0.0 μB per cell
- Uncorrected formation energy: -1.30 eV per atom


Computed, not measured: crystalline SmDyHoIn at its relaxed geometry at the PBE level of DFT.

The structure in CIF format:
```
data_SmDyHoIn
_chemical_formula_sum 'Sm1 Dy1 Ho1 In1'
_symmetry_space_group_name_H-M 'P 1'
_symmetry_Int_Tables_number 1
_symmetry_space_group_name_Hall 'P 1'
_cell_length_a 4.8491
_cell_length_b 4.8752
_cell_length_c 4.8789
_cell_angle_alpha 90.00
_cell_angle_beta 90.00
_cell_angle_gamma 90.00
loop_
_atom_site_label
_atom_site_type_symbol
_atom_site_fract_x
_atom_site_fract_y
_atom_site_fract_z
Sm1 Sm 0.0000 0.0000 0.0000
Dy1 Dy 0.5000 0.5000 0.0000
Ho1 Ho 0.5000 0.0000 0.5000
In1 In 0.0000 0.5000 0.5000
```

- Formation enthalpy at 0 K: -265 meV/atom
- Total magnetization: 0.2 μB per cell
- Energy relative to the lowest polymorph listed for this composition: 0 meV/atom


Computed, not measured: crystalline Sm2Dy3Ho6In at its relaxed geometry at the PBE level of DFT.

The structure in CIF format:
```
data_Sm2Dy3Ho6In
_chemical_formula_sum 'Sm2 Dy3 Ho6 In1'
_symmetry_space_group_name_H-M 'P 1'
_symmetry_Int_Tables_number 1
_symmetry_space_group_name_Hall 'P 1'
_cell_length_a 6.0741
_cell_length_b 6.0741
_cell_length_c 11.6606
_cell_angle_alpha 94.99
_cell_angle_beta 94.99
_cell_angle_gamma 120.04
loop_
_atom_site_label
_atom_site_type_symbol
_atom_site_fract_x
_atom_site_fract_y
_atom_site_fract_z
Sm1 Sm 0.1661 0.8339 0.0000
Sm2 Sm 0.8339 0.1661 0.0000
Dy1 Dy 0.0000 0.0000 0.5000
Dy2 Dy 0.3332 0.6668 0.5000
Dy3 Dy 0.6668 0.3332 0.5000
Ho1 Ho 0.0897 0.4175 0.7513
Ho2 Ho 0.2549 0.2549 0.2499
Ho3 Ho 0.4175 0.0897 0.7513
Ho4 Ho 0.5825 0.9103 0.2487
Ho5 Ho 0.7451 0.7451 0.7501
Ho6 Ho 0.9103 0.5825 0.2487
In1 In 0.5000 0.5000 0.0000
```

- Formation enthalpy at 0 K: -52 meV/atom
- Total magnetization: 0.0 μB per cell


Computed, not measured: crystalline SmDy2HoIn4 at its relaxed geometry at the PBE level of DFT.

The structure in CIF format:
```
data_SmDy2HoIn4
_chemical_formula_sum 'Sm1 Dy2 Ho1 In4'
_symmetry_space_group_name_H-M 'P 1'
_symmetry_Int_Tables_number 1
_symmetry_space_group_name_Hall 'P 1'
_cell_length_a 9.2541
_cell_length_b 9.2541
_cell_length_c 9.2541
_cell_angle_alpha 33.48
_cell_angle_beta 33.48
_cell_angle_gamma 33.48
loop_
_atom_site_label
_atom_site_type_symbol
_atom_site_fract_x
_atom_site_fract_y
_atom_site_fract_z
Sm1 Sm 0.0000 0.0000 0.0000
Dy1 Dy 0.2496 0.2496 0.2496
Dy2 Dy 0.7504 0.7504 0.7504
Ho1 Ho 0.5000 0.5000 0.5000
In1 In 0.1259 0.1259 0.1259
In2 In 0.3760 0.3760 0.3760
In3 In 0.6240 0.6240 0.6240
In4 In 0.8741 0.8741 0.8741
```

- Formation enthalpy at 0 K: -467 meV/atom
- Total magnetization: 0.0 μB per cell


Computed, not measured: crystalline SmDyHo2In4 at its relaxed geometry at the PBE level of DFT.

The structure in CIF format:
```
data_SmDyHo2In4
_chemical_formula_sum 'Sm1 Dy1 Ho2 In4'
_symmetry_space_group_name_H-M 'P 1'
_symmetry_Int_Tables_number 1
_symmetry_space_group_name_Hall 'P 1'
_cell_length_a 9.2460
_cell_length_b 9.2460
_cell_length_c 9.2460
_cell_angle_alpha 33.48
_cell_angle_beta 33.48
_cell_angle_gamma 33.48
loop_
_atom_site_label
_atom_site_type_symbol
_atom_site_fract_x
_atom_site_fract_y
_atom_site_fract_z
Sm1 Sm 0.0000 0.0000 0.0000
Dy1 Dy 0.5000 0.5000 0.5000
Ho1 Ho 0.2498 0.2498 0.2498
Ho2 Ho 0.7502 0.7502 0.7502
In1 In 0.1258 0.1258 0.1258
In2 In 0.3758 0.3758 0.3758
In3 In 0.6242 0.6242 0.6242
In4 In 0.8742 0.8742 0.8742
```

- Formation enthalpy at 0 K: -465 meV/atom
- Total magnetization: 0.0 μB per cell


Computed, not measured: crystalline Sm2Dy2Ho2In at its relaxed geometry at the PBE level of DFT.

The structure in CIF format:
```
data_Sm2Dy2Ho2In
_chemical_formula_sum 'Sm2 Dy2 Ho2 In1'
_symmetry_space_group_name_H-M 'P 1'
_symmetry_Int_Tables_number 1
_symmetry_space_group_name_Hall 'P 1'
_cell_length_a 4.1228
_cell_length_b 4.1228
_cell_length_c 12.9780
_cell_angle_alpha 99.11
_cell_angle_beta 99.11
_cell_angle_gamma 89.96
loop_
_atom_site_label
_atom_site_type_symbol
_atom_site_fract_x
_atom_site_fract_y
_atom_site_fract_z
Sm1 Sm 0.2105 0.2105 0.4204
Sm2 Sm 0.7895 0.7895 0.5796
Dy1 Dy 0.3605 0.3605 0.7216
Dy2 Dy 0.6395 0.6395 0.2784
Ho1 Ho 0.0662 0.0662 0.1294
Ho2 Ho 0.9338 0.9338 0.8706
In1 In 0.5000 0.5000 0.0000
```

- Formation enthalpy at 0 K: -21 meV/atom
- Total magnetization: 0.0 μB per cell


Computed, not measured: crystalline SmDy2HoIn2 at its relaxed geometry at the PBE level of DFT.

The structure in CIF format:
```
data_SmDy2HoIn2
_chemical_formula_sum 'Sm2 Dy4 Ho2 In4'
_symmetry_space_group_name_H-M 'P 1'
_symmetry_Int_Tables_number 1
_symmetry_space_group_name_Hall 'P 1'
_cell_length_a 5.2148
_cell_length_b 9.8450
_cell_length_c 6.7386
_cell_angle_alpha 90.00
_cell_angle_beta 90.00
_cell_angle_gamma 90.00
loop_
_atom_site_label
_atom_site_type_symbol
_atom_site_fract_x
_atom_site_fract_y
_atom_site_fract_z
Sm1 Sm 0.0000 0.0375 0.0000
Sm2 Sm 0.0000 0.9625 0.5000
Dy1 Dy 0.0000 0.3211 0.3526
Dy2 Dy 0.0000 0.6789 0.8526
Dy3 Dy 0.5000 0.4605 0.0715
Dy4 Dy 0.5000 0.5395 0.5715
Ho1 Ho 0.5000 0.1842 0.7217
Ho2 Ho 0.5000 0.8158 0.2217
In1 In 0.0000 0.3582 0.8253
In2 In 0.0000 0.6418 0.3253
In3 In 0.5000 0.1432 0.2505
In4 In 0.5000 0.8568 0.7505
```

- Formation enthalpy at 0 K: -355 meV/atom
- Total magnetization: 0.0 μB per cell